(1)
A plane-wave DFT calculation with PBE was carried out for a relaxed BaZr2Au crystal.

a = 6.589 Å, b = 6.589 Å, c = 5.533 Å
α = 67.85°, β = 67.85°, γ = 29.49°
Fractional positions:
Zr: 0.038 0.038 0.945
Ba: 0.250 0.250 0.250
Zr: 0.462 0.462 0.555
Au: 0.750 0.750 0.750

Summary:
The energy above the most stable polymorph in this dataset comes out at 184 meV per atom. The total energy is -0.2031 hartree per atom. Its symmetry is C2/m, No. 12. For the calculated volume, the calculation gives 27.23 Å³ per atom. The calculation puts the density of states at the Fermi level at 4.20 states/eV/cell.



(2)
A plane-wave DFT calculation with PBE was carried out for a relaxed BaZrAu2 crystal.

a = 6.511 Å, b = 6.511 Å, c = 6.511 Å
α = 43.50°, β = 43.50°, γ = 43.50°
Fractional positions:
Ba: 0.250 0.250 0.250
Zr: 0.750 0.750 0.750
Au: 0.055 0.055 0.055
Au: 0.445 0.445 0.445

Summary:
The energy above the most stable polymorph in this dataset comes out at 16 meV per atom. The total energy is -0.1735 hartree per atom. Its symmetry is R-3m, No. 166. For the calculated volume, the calculation gives 29.67 Å³ per atom. The calculation puts the density of states at the Fermi level at 2.08 states/eV/cell.



(3)
A plane-wave DFT calculation with PBE was carried out for a relaxed Ba2Zr2Au crystal.

a = 7.355 Å, b = 7.355 Å, c = 5.881 Å
α = 90.00°, β = 90.00°, γ = 90.00°
Fractional positions:
Zr: 0.858 0.642 0.000
Zr: 0.642 0.142 0.000
Zr: 0.358 0.858 0.000
Ba: 0.678 0.822 0.500
Au: 0.000 0.000 0.000
Ba: 0.178 0.678 0.500
Au: 0.500 0.500 0.000
Ba: 0.822 0.322 0.500
Ba: 0.322 0.178 0.500
Zr: 0.142 0.358 0.000

Summary:
The energy above the most stable polymorph in this dataset comes out at 0 meV per atom. The total energy is -0.1686 hartree per atom. Its symmetry is P4/mbm, No. 127. For the calculated volume, the calculation gives 31.82 Å³ per atom. The calculation puts the density of states at the Fermi level at 19.06 states/eV/cell.



(4)
A plane-wave DFT calculation with PBE was carried out for a relaxed BaZr2Au crystal.

a = 5.545 Å, b = 3.411 Å, c = 5.644 Å
α = 83.88°, β = 90.00°, γ = 90.00°
Fractional positions:
Au: 0.500 0.250 0.250
Ba: 0.500 0.750 0.750
Zr: 0.000 0.431 0.467
Zr: 0.000 0.069 0.033

Summary:
The energy above the most stable polymorph in this dataset comes out at 357 meV per atom. The total energy is -0.1967 hartree per atom. Its symmetry is P2/m, No. 10. For the calculated volume, the calculation gives 26.53 Å³ per atom. The calculation puts the density of states at the Fermi level at 4.05 states/eV/cell.



(5)
A plane-wave DFT calculation with PBE was carried out for a relaxed BaZr2Au crystal.

a = 10.736 Å, b = 10.736 Å, c = 10.736 Å
α = 18.31°, β = 18.31°, γ = 18.31°
Fractional positions:
Zr: 0.985 0.985 0.985
Ba: 0.750 0.750 0.750
Zr: 0.515 0.515 0.515
Au: 0.250 0.250 0.250

Summary:
The energy above the most stable polymorph in this dataset comes out at 414 meV per atom. The total energy is -0.1946 hartree per atom. Its symmetry is R-3m, No. 166. For the calculated volume, the calculation gives 26.66 Å³ per atom. The calculation puts the density of states at the Fermi level at 4.31 states/eV/cell.



(6)
A plane-wave DFT calculation with PBE was carried out for a relaxed BaZr2Au crystal.

a = 6.012 Å, b = 6.012 Å, c = 3.227 Å
α = 90.00°, β = 90.00°, γ = 119.00°
Fractional positions:
Au: 0.500 0.000 0.500
Zr: 0.500 0.500 0.000
Ba: 0.000 0.500 0.500
Zr: 0.000 0.000 0.000

Summary:
The energy above the most stable polymorph in this dataset comes out at 594 meV per atom. The total energy is -0.1880 hartree per atom. Its symmetry is Cmmm, No. 65. For the calculated volume, the calculation gives 25.50 Å³ per atom. The calculation puts the density of states at the Fermi level at 5.54 states/eV/cell.



(7)
A plane-wave DFT calculation with PBE was carried out for a relaxed BaZr2Au crystal.

a = 5.722 Å, b = 5.722 Å, c = 5.722 Å
α = 131.94°, β = 131.94°, γ = 70.32°
Each line ends with the local moment (μB).
Fractional positions:
Zr: 0.000 0.000 0.000  0.29
Zr: 0.250 0.750 0.500  0.29
Au: 0.500 0.500 0.000  0.02
Ba: 0.750 0.250 0.500  0.05

Summary:
The energy above the most stable polymorph in this dataset comes out at 501 meV per atom. The total energy is -0.1915 hartree per atom. Its symmetry is I-4m2, No. 119. For the calculated volume, the calculation gives 25.39 Å³ per atom. The calculation puts the density of states at the Fermi level at 6.29 states/eV/cell.



(8)
A plane-wave DFT calculation with PBE was carried out for a relaxed BaZrAu2 crystal.

a = 5.405 Å, b = 5.405 Å, c = 3.438 Å
α = 90.02°, β = 90.02°, γ = 90.11°
Each line ends with the local moment (μB).
Fractional positions:
Zr: 0.000 0.500 0.500  0.29
Au: 0.500 0.500 0.000  0.01
Ba: 0.500 0.000 0.500  0.02
Au: 0.000 0.000 0.000  0.01

Summary:
The energy above the most stable polymorph in this dataset comes out at 210 meV per atom. The total energy is -0.1664 hartree per atom. Its symmetry is Cmmm, No. 65. For the calculated volume, the calculation gives 25.11 Å³ per atom. The calculation puts the density of states at the Fermi level at 3.84 states/eV/cell.



(9)
A plane-wave DFT calculation with PBE was carried out for a relaxed BaZrAu2 crystal.

a = 4.798 Å, b = 4.798 Å, c = 6.628 Å
α = 73.14°, β = 73.14°, γ = 59.69°
Each line ends with the local moment (μB).
Fractional positions:
Au: 0.683 0.683 0.914  -0.01
Au: 0.973 0.973 0.070  0.00
Ba: 0.530 0.530 0.477  0.05
Zr: 0.314 0.314 0.039  0.26

Summary:
The energy above the most stable polymorph in this dataset comes out at 136 meV per atom. The total energy is -0.1691 hartree per atom. Its symmetry is Cm, No. 8. For the calculated volume, the calculation gives 31.04 Å³ per atom. The calculation puts the density of states at the Fermi level at 2.85 states/eV/cell.



(10)
A plane-wave DFT calculation with PBE was carried out for a relaxed BaZr2Au crystal.

a = 3.369 Å, b = 5.507 Å, c = 5.507 Å
α = 90.00°, β = 90.00°, γ = 90.00°
Fractional positions:
Au: 0.500 0.000 0.500
Ba: 0.000 0.500 0.500
Zr: 0.000 0.000 0.000
Zr: 0.500 0.500 0.000

Summary:
The energy above the most stable polymorph in this dataset comes out at 367 meV per atom. The total energy is -0.1964 hartree per atom. Its symmetry is Pmmm, No. 47. For the calculated volume, the calculation gives 25.55 Å³ per atom. The calculation puts the density of states at the Fermi level at 4.42 states/eV/cell.



(11)
A plane-wave DFT calculation with PBE was carried out for a relaxed BaZr2Au crystal.

a = 5.125 Å, b = 4.508 Å, c = 4.508 Å
α = 90.00°, β = 90.00°, γ = 90.00°
Fractional positions:
Zr: 0.000 0.500 0.500
Zr: 0.000 0.000 0.000
Ba: 0.500 0.000 0.500
Au: 0.500 0.500 0.000

Summary:
The energy above the most stable polymorph in this dataset comes out at 476 meV per atom. The total energy is -0.1924 hartree per atom. Its symmetry is P4/mmm, No. 123. For the calculated volume, the calculation gives 26.04 Å³ per atom. The calculation puts the density of states at the Fermi level at 6.29 states/eV/cell.



(12)
A plane-wave DFT calculation with PBE was carried out for a relaxed BaZr4Au crystal.

a = 6.003 Å, b = 6.003 Å, c = 6.003 Å
α = 60.00°, β = 60.00°, γ = 60.00°
Fractional positions:
Au: 0.750 0.750 0.750
Zr: 0.376 0.873 0.376
Zr: 0.376 0.376 0.873
Zr: 0.873 0.376 0.376
Ba: 0.000 0.000 0.000
Zr: 0.376 0.376 0.376

Summary:
The total energy is -0.2246 hartree per atom. Its symmetry is F-43m, No. 216. For the calculated volume, the calculation gives 25.50 Å³ per atom. The calculation puts the density of states at the Fermi level at 8.10 states/eV/cell.



Number 1: formation energy 0.048 eV/atom. Number 2: formation energy -0.466 eV/atom. Number 3: formation energy 0.255 eV/atom. Number 4: formation energy 0.221 eV/atom. Number 5: formation energy 0.278 eV/atom. Number 6: formation energy 0.458 eV/atom. Number 7: formation energy 0.364 eV/atom. Number 8: formation energy -0.272 eV/atom. Number 9: formation energy -0.346 eV/atom. Number 10: formation energy 0.230 eV/atom. Number 11: formation energy 0.339 eV/atom. Number 12: formation energy 0.454 eV/atom.